Computed, not measured: a relaxed LiFeF4 crystal at the PBE with a Hubbard U level of DFT.

Summary:
* electronic total energy: -123.3 eV/cell
* magnetization: 20.0 μB/cell
* SG: Pbcn
* crystal system: orthorhombic
* energy above the lowest structure with this stoichiometry: 0.012 eV per atom

extended XYZ file:
```
24
Lattice="-1.527 0.958 -4.354 2.437 -4.751 -1.901 -8.637 -5.186 1.888" Properties=species:S:1:pos:R:3 pbc="T T T"
F -3.930 -2.781 -2.812
Fe -0.203 -5.110 -1.053
F -4.606 -7.364 -3.769
F -3.796 -6.198 -1.555
F -5.184 -8.604 -1.412
F -2.542 -0.375 -2.955
F -6.366 -6.252 -0.357
F -0.553 -1.509 -1.661
F -1.361 -2.727 -4.011
F -3.121 -1.615 -0.598
F -7.173 -7.470 -2.706
F -8.540 -5.001 -2.178
Li 1.219 -2.376 -0.950
F -5.861 -4.965 -2.925
Fe -5.996 -4.828 1.041
F -4.867 -3.915 -0.183
F -1.865 -4.014 -1.442
Li -5.082 -2.114 -1.233
Fe -2.185 -2.255 -2.280
Fe -5.541 -6.724 -2.087
Li -3.100 -4.969 -0.006
F -2.860 -5.064 -4.185
Li -0.764 0.479 -2.177
F 0.814 -3.977 -2.189
```